No. 1
A relaxed ThCuNi3 crystal. Source: Alexandria, functional PBE-GGA.

Cell: 4.835 8.232 6.214 Å, 131.49 112.89 90.00°
Element x y z (fractional)
1 Cu 0.000 0.500 0.000
2 Cu 0.500 0.000 0.000
3 Ni 0.750 0.070 0.500
4 Ni 0.753 0.253 0.005
5 Ni 0.253 0.253 0.005
6 Ni 0.247 0.747 0.995
7 Ni 0.250 0.930 0.500
8 Ni 0.747 0.747 0.995
9 Th 0.250 0.291 0.500
10 Th 0.750 0.709 0.500

Computed properties:
formation enthalpy at 0 K = -0.29 eV/atom
symmetry = Imma
crystal system = orthorhombic


No. 2
A relaxed Th2Cu2Ni3 crystal. Source: Alexandria, functional PBE-GGA.

Cell: 3.918 7.004 9.108 Å, 90.00 102.42 90.00°
Element x y z (fractional)
1 Th 0.845 0.750 0.691
2 Th 0.936 0.250 0.871
3 Th 0.064 0.750 0.129
4 Th 0.155 0.250 0.309
5 Ni 0.440 0.929 0.881
6 Ni 0.227 0.750 0.454
7 Ni 0.560 0.071 0.119
8 Ni 0.440 0.571 0.881
9 Ni 0.773 0.250 0.546
10 Ni 0.560 0.429 0.119
11 Cu 0.307 0.060 0.614
12 Cu 0.693 0.940 0.386
13 Cu 0.693 0.560 0.386
14 Cu 0.307 0.440 0.614

Computed properties:
energy above the lowest structure with this stoichiometry = 0.000 eV/atom
formation enthalpy at 0 K = -0.34 eV/atom
symmetry = Cmcm
crystal system = orthorhombic


No. 3
A relaxed ThCu2Ni6 crystal. Source: Alexandria, functional PBE-GGA.

Cell: 7.382 7.382 7.382 Å, 60.00 60.00 60.00°
Element x y z (fractional)
1 Ni 0.507 0.993 0.507
2 Ni 0.507 0.993 0.993
3 Ni 0.507 0.507 0.993
4 Ni 0.743 0.743 0.257
5 Ni 0.993 0.993 0.507
6 Ni 0.743 0.257 0.257
7 Ni 0.993 0.507 0.507
8 Ni 0.743 0.257 0.743
9 Ni 0.257 0.257 0.743
10 Ni 0.257 0.743 0.743
11 Ni 0.993 0.507 0.993
12 Ni 0.257 0.743 0.257
13 Cu 0.125 0.625 0.125
14 Cu 0.125 0.125 0.125
15 Cu 0.625 0.125 0.125
16 Cu 0.125 0.125 0.625
17 Th 0.500 0.500 0.500
18 Th 0.750 0.750 0.750

Computed properties:
formation enthalpy at 0 K = 0.38 eV/atom
symmetry = Fd-3m
crystal system = cubic


No. 4
A relaxed ThCu6Ni6 crystal. Source: Alexandria, functional PBE-GGA.

Cell: 4.800 6.376 6.376 Å, 82.52 67.89 67.89°
Element x y z (fractional)
1 Cu 0.500 0.000 0.500
2 Cu 0.500 0.231 0.769
3 Cu 0.000 0.000 0.500
4 Cu 0.000 0.500 0.000
5 Cu 0.500 0.769 0.231
6 Cu 0.500 0.500 0.000
7 Ni 0.000 0.643 0.357
8 Ni 0.274 0.226 0.226
9 Ni 0.350 0.650 0.650
10 Ni 0.650 0.350 0.350
11 Ni 0.726 0.774 0.774
12 Ni 0.000 0.357 0.643
13 Th 0.000 0.000 0.000

Computed properties:
energy above the lowest structure with this stoichiometry = 0.032 eV/atom
formation enthalpy at 0 K = -0.11 eV/atom
symmetry = Immm
crystal system = orthorhombic